A plane-wave DFT calculation with PBE was carried out for crystalline DyPa5Sb6 at its relaxed geometry.

Output
**Space-group type**: C2/m, No. 12
**E_form (uncorrected)**: -0.545 eV per atom

```
DyPa5Sb6
1.0
3.779 -6.545 0.000
3.779 6.545 0.000
-2.520 0.000 7.114
Dy Pa Sb
1 5 6
direct
0.000 0.000 0.000 Dy
0.167 0.833 0.500 Pa
0.333 0.667 0.000 Pa
0.500 0.500 0.500 Pa
0.667 0.333 0.000 Pa
0.833 0.167 0.500 Pa
0.083 0.415 0.249 Sb
0.249 0.249 0.751 Sb
0.415 0.083 0.249 Sb
0.585 0.917 0.751 Sb
0.751 0.751 0.249 Sb
0.917 0.585 0.751 Sb
```